1.
{"formula": "SrMgSO2", "functional": "PBE", "state": "optimized geometry", "cell": [[-2.6673, -2.6853, 2.0945], [0.9787, -3.7767, -3.5957], [3.3108, -1.4212, 2.3940]], "species": ["O", "O", "Mg", "S", "Sr"], "fractional_positions": [[0.5000, 0.0000, 0.0000], [0.0000, 0.0000, 0.5000], [0.5000, 0.5000, 0.5000], [0.0000, 0.0000, 0.0000], [0.0000, 0.5000, 0.0000]], "total_magnetization_mub_per_fu": 0.000, "sg": "P4/mmm", "formation_energy_uncorrected_ev_per_atom": 0.10}

2.
{"formula": "SiTcPb2W", "functional": "PBE", "state": "optimized geometry", "cell": [[5.3974, 0.0000, 0.0000], [0.0000, 4.7313, 0.0000], [0.0000, 0.0000, 5.3974]], "species": ["Pb", "Pb", "Si", "Tc", "W"], "fractional_positions": [[0.5000, 0.0000, 0.0000], [0.0000, 0.0000, 0.5000], [0.0000, 0.5000, 0.0000], [0.5000, 0.5000, 0.5000], [0.0000, 0.0000, 0.0000]], "total_magnetization_mub_per_fu": 4.944, "sg": "P4/mmm", "formation_energy_uncorrected_ev_per_atom": 1.42}

3.
{"formula": "Rb3TcBi", "functional": "PBE", "state": "optimized geometry", "cell": [[7.1155, 0.0000, 0.0000], [0.0000, 7.1155, 0.0000], [0.0000, 0.0000, 7.1155]], "species": ["Rb", "Rb", "Rb", "Bi", "Tc"], "fractional_positions": [[0.0000, 0.5000, 0.0000], [0.5000, 0.0000, 0.0000], [0.0000, 0.0000, 0.5000], [0.0000, 0.0000, 0.0000], [0.5000, 0.5000, 0.5000]], "total_magnetization_mub_per_fu": 5.000, "sg": "Pm-3m", "relative_energy_kj_per_mol_atoms": 0.0, "e_form_ev_per_atom": 1.038}

4.
{"formula": "AlTcRu", "functional": "PBE", "state": "optimized geometry", "cell": [[6.8506, -0.0054, 0.0037], [6.0722, 2.6120, -0.0104], [0.7784, -0.9919, 2.4222]], "species": ["Al", "Tc", "Ru"], "fractional_positions": [[0.9975, 0.9975, 0.0025], [0.6665, 0.6665, 0.3335], [0.3360, 0.3360, 0.6640]], "total_magnetization_mub_per_fu": 0.001, "sg": "Fmm2", "relative_energy_kj_per_mol_atoms": 37.1, "e_form_ev_per_atom": -0.014}

no.,DFT total energy (eV per atom)
1,-3.36
2,-5.81
3,-2.39
4,-7.81